The following is a GGA-PBE calculation of crystalline HfAl4 at its relaxed geometry, from Alexandria via LeMat-Bulk.

Cell: 6.5469 6.5469 6.5469 Å, 145.11 145.11 50.18°
Last column: nearest neighbours and their distance in Å.
Element x y z (fractional)
Hf 0.0000 0.0000 0.0000  8 Al 3.03
Al 0.2500 0.7500 0.5000  8 Al 2.64-2.78
Al 0.3986 0.3986 0.0000  5 Al 2.40-2.64
Al 0.6014 0.6014 0.0000  5 Al 2.40-2.64
Al 0.7500 0.2500 0.5000  8 Al 2.64-2.78

Calculated values
DFT total energy in eV/atom: -4.92
Spin magnetization in μB per atom: 0.0000